1 | Here is Cd4Hg3 after structural relaxation from Alexandria. Energies are from PBE.

The structure in CIF format:
```
data_Cd4Hg3
_cell_length_a 6.1337
_cell_length_b 6.1337
_cell_length_c 5.4910
_cell_angle_alpha 90.00
_cell_angle_beta 90.00
_cell_angle_gamma 120.00
_symmetry_space_group_name_H-M 'P 6/m m m'
_symmetry_Int_Tables_number 191
_symmetry_space_group_name_Hall '-P 6 2'
loop_
_atom_site_label
_atom_site_type_symbol
_atom_site_fract_x
_atom_site_fract_y
_atom_site_fract_z
Cd1 Cd 0.0000 0.0000 0.2462
Cd2 Cd 0.3333 0.6667 0.0000
Hg1 Hg 0.0000 0.5000 0.5000
```

2 | Here is Cd4Hg3 after structural relaxation from Alexandria. Energies are from PBE.

The structure in CIF format:
```
data_Cd4Hg3
_cell_length_a 4.076
_cell_length_b 4.076
_cell_length_c 20.374
_cell_angle_alpha 90.00
_cell_angle_beta 90.00
_cell_angle_gamma 90.00
_symmetry_space_group_name_H-M 'I 4/m m m'
_symmetry_Int_Tables_number 139
_symmetry_space_group_name_Hall '-I 4 2'
loop_
_atom_site_label
_atom_site_type_symbol
_atom_site_fract_x
_atom_site_fract_y
_atom_site_fract_z
Cd1 Cd 0.000 0.000 0.071
Cd2 Cd 0.000 0.000 0.356
Hg1 Hg 0.000 0.000 0.213
Hg2 Hg 0.000 0.000 0.500
```

3 | Here is Cd4Hg3 after structural relaxation from Alexandria. Energies are from PBE.

The structure in CIF format:
```
data_Cd4Hg3
_cell_length_a 3.570
_cell_length_b 3.602
_cell_length_c 26.183
_cell_angle_alpha 90.00
_cell_angle_beta 90.00
_cell_angle_gamma 90.00
_symmetry_space_group_name_H-M 'I m m m'
_symmetry_Int_Tables_number 71
_symmetry_space_group_name_Hall '-I 2 2'
loop_
_atom_site_label
_atom_site_type_symbol
_atom_site_fract_x
_atom_site_fract_y
_atom_site_fract_z
Cd1 Cd 0.000 0.000 0.072
Cd2 Cd 0.000 0.000 0.215
Hg1 Hg 0.000 0.000 0.357
Hg2 Hg 0.000 0.000 0.500
```

On energetic grounds, 2 is preferred over the next structure by 17 meV per atom.